Material: NaHfCuTe2S
Method: DFT, PBE
State: optimized geometry

abc: 7.564 7.564 10.003
angles: 90.00 90.00 149.88
Fractional positions:
Na1 0.225 0.775 0.750
Na2 0.775 0.225 0.250
Hf1 0.500 0.500 0.000
Hf2 0.500 0.500 0.500
Cu1 0.029 0.971 0.250
Cu2 0.971 0.029 0.750
Te1 0.142 0.858 0.049
Te2 0.142 0.858 0.451
Te3 0.858 0.142 0.549
Te4 0.858 0.142 0.951
S1 0.444 0.556 0.250
S2 0.556 0.444 0.750

Summary:
total magnetic moment: 0.0 μB/cell
calculated volume: 287.2 Å³/cell
energy relative to the lowest polymorph listed for this composition: 0 meV/atom